Crystalline La2TcGeN at its relaxed geometry, computed with PBE.

```
5
Lattice="5.2203 0.0000 0.0000 0.0000 5.2203 0.0000 0.0000 0.0000 3.9390" Properties=species:S:1:pos:R:3 pbc="T T T"
La 0.0000 2.6102 0.0000
La 2.6102 0.0000 0.0000
Tc 0.0000 0.0000 1.9695
Ge 2.6102 2.6102 1.9695
N 0.0000 0.0000 0.0000
```

- Energy relative to the elements, uncorrected: -67 kJ per mole of atoms
- Total energy: -36.64 eV for the cell shown
- Space group: P4/mmm